An optimized crystal structure of SrPr3Pa2N6, computed with GGA-PBE.

```
SrPr3Pa2N6
1.0
-3.6231 -0.1400 0.0920
-0.0372 -3.3071 -6.4941
2.1752 -5.9529 5.1089
Sr Pr Pa N
1 3 2 6
Cartesian
-1.8115 -0.0700 0.0460
-1.8301 -1.7236 -3.2010
-1.5762 -4.6042 2.4132
0.0912 -4.7958 -3.7064
-1.5936 -6.3004 -0.8541
0.1086 -3.0996 -0.4390
0.2070 -6.8871 -2.3269
-1.7056 -4.0251 -1.8018
-1.6920 -2.5129 1.0337
0.0066 -1.1833 -1.5415
-1.4916 -8.2167 0.2484
0.2206 -5.3750 0.5087
```

Magnetic moment ... 0.00 Bohr magnetons per cell
E_form (uncorrected) ... -1.398 eV per atom
Symmetry ... C2/m (12)
VASP energy ... -8.479 eV per atom

An optimized crystal structure of TbCe2N2Cl2, computed with GGA-PBE.

```
TbCe2N2Cl2
1.0
4.5351 0.0000 0.0000
0.0000 4.5351 0.0000
-2.2676 -2.2676 7.3290
Tb Ce N Cl
1 2 2 2
Cartesian
0.0000 0.0000 0.0000
0.0000 0.0000 5.8853
2.2676 2.2676 1.4437
0.0000 2.2676 0.0000
2.2676 0.0000 0.0000
0.0000 0.0000 2.7920
2.2676 2.2676 4.5370
```

Magnetic moment ... 2.95 Bohr magnetons per cell
E_form (uncorrected) ... -1.463 eV per atom
Symmetry ... I4/mmm (139)
VASP energy ... -6.726 eV per atom

An optimized crystal structure of Al6Ga3Ag2, computed with GGA-PBE.

```
Al6Ga3Ag2
1.0
2.9927 0.0000 0.0000
1.4963 2.5917 0.0000
1.4963 0.8639 24.3762
Al Ga Ag
6 3 2
Cartesian
1.4963 0.8639 17.6729
4.4890 2.5917 6.7032
1.4963 0.8639 11.0921
4.4890 2.5917 13.2840
2.9927 1.7278 22.0818
2.9927 1.7278 2.2943
0.0000 0.0000 0.0000
1.4963 0.8639 4.4930
4.4890 2.5917 19.8832
2.9927 1.7278 15.4714
2.9927 1.7278 8.9048
```

Magnetic moment ... 0.00 Bohr magnetons per cell
Symmetry ... R-3m (166)
DFT formation energy ... 0.17 eV/f.u.
VASP energy ... -3.370 eV per atom

An optimized crystal structure of Ce3Sb2H2, computed with GGA-PBE.

```
Ce3Sb2H2
1.0
8.2447 0.0000 -0.8577
0.0000 6.0934 0.0000
2.9628 0.0000 5.9007
Ce Sb H
6 4 4
Cartesian
4.1224 3.0467 -0.4288
0.0000 0.0000 0.0000
8.3278 0.7343 3.0855
7.0021 3.7810 1.5287
4.2054 2.3124 3.5143
2.8798 5.3591 1.9575
9.6456 3.7004 3.7721
5.5232 5.4397 4.2009
5.6844 0.6537 0.8421
1.5620 2.3930 1.2710
6.5828 2.3577 3.3255
8.7471 5.4044 1.2887
2.4604 0.6890 3.7543
4.6248 3.7357 1.7176
```

Magnetic moment ... 7.98 Bohr magnetons per cell
Symmetry ... P2_1/c (14)
VASP energy ... -5.410 eV per atom
Energy relative to the lowest polymorph listed for this composition ... 0 meV per atom

An optimized crystal structure of Y2Mo, computed with GGA-PBE.

```
Y2Mo
1.0
6.6635 0.0000 0.0000
-3.3318 5.7708 0.0000
0.0000 0.0000 7.8503
Y Mo
8 4
Cartesian
0.0000 0.0000 0.0000
0.0000 0.0000 3.9251
0.0000 2.1373 5.8877
-1.4808 4.7022 5.8877
1.8509 1.0686 1.9626
1.4808 4.7022 5.8877
4.8126 1.0686 1.9626
3.3318 3.6335 1.9626
0.0000 3.8472 0.8219
0.0000 3.8472 3.1032
3.3318 1.9236 4.7470
3.3318 1.9236 7.0283
```

Magnetic moment ... 0.00 Bohr magnetons per cell
Symmetry ... P6_3/mmc (194)
DFT formation energy ... 2.62 eV/f.u.
VASP energy ... -7.046 eV per atom
Energy relative to the lowest polymorph listed for this composition ... 727 meV per atom

An optimized crystal structure of Pr3Sm2Dy6Sc, computed with GGA-PBE.

```
Pr3Sm2Dy6Sc
1.0
-3.6449 3.8190 3.2528
-2.1115 -5.5630 -1.7448
5.9180 -4.0498 9.4184
Pr Sm Dy Sc
3 2 6 1
Cartesian
0.5918 -6.0239 3.7975
-0.4303 0.2300 7.1289
0.0808 -2.8970 5.4632
-2.6233 -2.4315 -0.0767
-3.1331 0.6874 1.5847
-0.1242 -2.8235 9.0747
-2.8697 -2.3022 3.4415
0.2858 -2.9704 1.8517
0.3823 -5.9227 7.4238
3.0313 -3.4917 7.4849
-0.2208 0.1288 3.5026
0.0000 0.0000 0.0000
```

Magnetic moment ... 0.00 Bohr magnetons per cell
Symmetry ... C2/m (12)
DFT formation energy ... 0.34 eV/f.u.
VASP energy ... -4.782 eV per atom

An optimized crystal structure of CaSnO3, computed with GGA-PBE.

```
CaSnO3
1.0
4.3819 0.4540 0.1712
-0.4041 5.6155 0.3987
-0.6342 -0.4521 6.7667
Ca Sn O
2 2 6
Cartesian
0.8432 1.4053 0.7072
2.5004 4.2121 6.6295
2.9436 1.4840 3.6595
0.4000 4.1335 3.6772
3.0313 1.9491 5.9113
2.6418 5.0665 4.5037
0.8963 4.6986 0.4845
0.3122 3.6683 1.4254
0.7017 0.5510 2.8330
2.4472 0.9189 6.8522
```

Magnetic moment ... 0.00 Bohr magnetons per cell
E_form (uncorrected) ... -1.588 eV per atom
Symmetry ... P-1 (2)
VASP energy ... -5.764 eV per atom

An optimized crystal structure of Tc3Ru, computed with GGA-PBE.

```
Tc3Ru
1.0
-2.2488 1.6768 3.8579
-0.5205 -5.0297 -1.0660
1.8196 -1.2858 1.6195
Ru Tc
1 3
Cartesian
-2.2445 1.6736 3.8504
0.0097 -2.6906 0.1954
-0.2164 0.1969 2.7418
-0.2123 -2.5052 2.9343
```

Magnetic moment ... 0.00 Bohr magnetons per cell
Symmetry ... Imm2 (44)
DFT formation energy ... -0.17 eV/f.u.
VASP energy ... -10.135 eV per atom
Energy relative to the lowest polymorph listed for this composition ... 3 meV per atom

An optimized crystal structure of Nd2Sm5Sc, computed with GGA-PBE.

```
Nd2Sm5Sc
1.0
3.5821 0.1785 -0.3322
-0.8541 9.1389 -4.2989
0.8759 -1.4726 8.6438
Nd Sm Sc
2 5 1
Cartesian
-0.2028 6.1150 1.0917
3.8067 1.7298 2.9211
-0.4270 4.5694 -2.1494
1.6919 3.0571 0.3688
1.9121 4.7877 3.6439
1.2519 7.7643 -1.8454
2.3520 0.0805 5.8582
0.0000 0.0000 0.0000
```

Magnetic moment ... 0.00 Bohr magnetons per cell
Symmetry ... Cmmm (65)
DFT formation energy ... 0.25 eV/f.u.
VASP energy ... -4.901 eV per atom
Energy relative to the lowest polymorph listed for this composition ... 0 meV per atom

An optimized crystal structure of Ti2ReMo6, computed with GGA-PBE.

```
Ti2ReMo6
1.0
4.8349 -0.1844 -1.5382
0.1690 4.9669 -0.0631
-1.7350 2.6295 6.7032
Ti Re Mo
2 1 6
Cartesian
2.8617 4.9280 3.9523
0.4073 2.4841 1.1497
0.0000 0.0000 0.0000
2.0511 4.9215 1.6557
1.2178 2.4905 3.4462
-0.2322 5.0165 2.8219
2.4604 1.1906 -0.7845
0.8085 6.2215 5.8864
3.5012 2.3955 2.2800
```

Magnetic moment ... 0.00 Bohr magnetons per cell
Symmetry ... C2/m (12)
DFT formation energy ... 1.52 eV/f.u.
VASP energy ... -10.189 eV per atom
Energy relative to the lowest polymorph listed for this composition ... 223 meV per atom

An optimized crystal structure of SiGeAs2W, computed with GGA-PBE.

```
SiGeAs2W
1.0
4.7406 0.0000 0.0000
0.0000 4.7346 0.0000
0.0000 0.0000 4.7406
As Si Ge W
2 1 1 1
Cartesian
0.0000 0.0000 2.3703
2.3703 0.0000 0.0000
0.0000 0.0000 0.0000
2.3703 2.3673 2.3703
0.0000 2.3673 0.0000
```

Magnetic moment ... 1.12 Bohr magnetons per cell
E_form (uncorrected) ... 1.225 eV per atom
Symmetry ... P4/mmm (123)
VASP energy ... -5.233 eV per atom

An optimized crystal structure of Na2AlGa2, computed with GGA-PBE.

```
Na2AlGa2
1.0
3.9903 0.0000 0.0000
0.0000 3.9903 0.0000
1.9952 1.9952 7.0226
Na Al Ga
2 1 2
Cartesian
3.9903 1.9952 3.5113
1.9952 3.9903 3.5113
0.0000 0.0000 0.0000
1.9952 1.9952 1.2479
3.9903 3.9903 5.7748
```

Magnetic moment ... 0.00 Bohr magnetons per cell
Symmetry ... I4/mmm (139)
DFT formation energy ... 0.97 eV/f.u.
VASP energy ... -2.293 eV per atom
Energy relative to the lowest polymorph listed for this composition ... 242 meV per atom

Q: VASP energy of number 9 (Nd2Sm5Sc)?
A: -4.901 eV per atom